(1)
Here is Mg2AlZn after structural relaxation from Alexandria. Energies are from PBE.

Output
E: -2.069 eV per atom
Mass density: 3.12 g/cm³

Structure (CIF):
```
data_Mg2AlZn
_chemical_formula_sum 'Mg4 Al2 Zn2'
_cell_length_a 5.896
_cell_length_b 8.387
_cell_length_c 3.038
_cell_angle_alpha 90.00
_cell_angle_beta 90.00
_cell_angle_gamma 90.00
_space_group_name_H-M_alt 'C m m m'
_space_group_IT_number 65
_space_group_name_Hall '-C 2 2'
loop_
_atom_site_label
_atom_site_fract_x
_atom_site_fract_y
_atom_site_fract_z
Mg1 0.250 0.250 0.000
Al1 0.000 0.000 0.500
Zn1 0.000 0.500 0.500
```



(2)
Here is Nd3Sm2Ho5 after structural relaxation from Alexandria. Energies are from PBE.

Output
E: -4.478 eV per atom
Mass density: 7.75 g/cm³

Structure (CIF):
```
data_Nd3Sm2Ho5
_chemical_formula_sum 'Nd12 Sm8 Ho20'
_cell_length_a 10.692
_cell_length_b 16.238
_cell_length_c 9.367
_cell_angle_alpha 90.00
_cell_angle_beta 124.80
_cell_angle_gamma 90.00
_space_group_name_H-M_alt 'C 1 2/c 1'
_space_group_IT_number 15
loop_
_space_group_symop_operation_xyz
'x,y,z'
'-x,-y,-z'
'-x,y,-z+1/2'
'x,-y,z+1/2'
'x+1/2,y+1/2,z'
'-x+1/2,-y+1/2,-z'
'-x+1/2,y+1/2,-z+1/2'
'x+1/2,-y+1/2,z+1/2'
loop_
_atom_site_label
_atom_site_fract_x
_atom_site_fract_y
_atom_site_fract_z
Nd1 0.000 0.018 0.250
Nd2 0.151 0.374 0.548
Sm1 0.146 0.130 0.045
Ho1 0.000 0.225 0.250
Ho2 0.000 0.278 0.750
Ho3 0.000 0.477 0.750
Ho4 0.242 0.365 0.236
```



(3)
Here is Ca2YSe4 after structural relaxation from Alexandria. Energies are from PBE.

Output
E: -5.155 eV per atom
Mass density: 4.20 g/cm³

Structure (CIF):
```
data_Ca2YSe4
_chemical_formula_sum 'Ca8 Y4 Se16'
_cell_length_a 3.999
_cell_length_b 14.250
_cell_length_c 13.455
_cell_angle_alpha 90.00
_cell_angle_beta 90.00
_cell_angle_gamma 90.00
_space_group_name_H-M_alt 'C m c m'
_space_group_IT_number 63
_space_group_name_Hall '-C 2c 2'
loop_
_atom_site_label
_atom_site_fract_x
_atom_site_fract_y
_atom_site_fract_z
Ca1 0.000 0.131 0.070
Y1 0.000 0.376 0.250
Se1 0.000 0.019 0.250
Se2 0.000 0.224 0.626
Se3 0.000 0.500 0.000
```



(4)
Here is MgAlSb2 after structural relaxation from Alexandria. Energies are from PBE.

Output
E: -3.336 eV per atom
Mass density: 5.07 g/cm³

Structure (CIF):
```
data_MgAlSb2
_chemical_formula_sum 'Mg2 Al2 Sb4'
_cell_length_a 4.156
_cell_length_b 5.502
_cell_length_c 8.446
_cell_angle_alpha 90.00
_cell_angle_beta 90.00
_cell_angle_gamma 90.00
_space_group_name_H-M_alt 'I m m m'
_space_group_IT_number 71
_space_group_name_Hall '-I 2 2'
loop_
_atom_site_label
_atom_site_fract_x
_atom_site_fract_y
_atom_site_fract_z
Mg1 0.000 0.000 0.000
Al1 0.000 0.000 0.500
Sb1 0.000 0.500 0.235
```



(5)
Here is TaTl2Mo after structural relaxation from Alexandria. Energies are from PBE.

Output
E: -6.134 eV per atom
Mass density: 14.08 g/cm³

Structure (CIF):
```
data_TaTl2Mo
_chemical_formula_sum 'Ta1 Tl2 Mo1'
_cell_length_a 3.016
_cell_length_b 4.876
_cell_length_c 5.529
_cell_angle_alpha 90.00
_cell_angle_beta 96.17
_cell_angle_gamma 90.00
_space_group_name_H-M_alt 'P 1 2/m 1'
_space_group_IT_number 10
loop_
_space_group_symop_operation_xyz
'x,y,z'
'-x,-y,-z'
'-x,y,-z'
'x,-y,z'
loop_
_atom_site_label
_atom_site_fract_x
_atom_site_fract_y
_atom_site_fract_z
Ta1 0.000 0.000 0.000
Tl1 0.273 0.500 0.748
Mo1 0.500 0.000 0.500
```